Density functional theory data (GGA-PBE) for an optimized crystal structure of LiPdAu.

distance to the lowest polymorph of the same formula: 58 meV/atom
Fermi-level density of states: 0.670 states/eV/f.u.
E_form: -0.37 eV per atom

Unit cell a=2.7831 b=4.0072 c=8.4407 alpha=90.00 beta=90.00 gamma=90.00
Last column: nearest neighbours and their distance in Å.
Space group Imm2 (No. 44)
Inequivalent atoms, fractional coordinates:
Li 0.0000 0.0000 0.0000 (multiplicity 2)  2 Li 2.78, 5 Pd 2.80-2.85, 5 Au 2.81-2.82
Pd 0.0000 0.0000 0.6627 (multiplicity 2)  5 Au 2.78-2.83, 2 Pd 2.78, 5 Li 2.80-2.85
Au 0.0000 0.0000 0.3336 (multiplicity 2)  5 Pd 2.78-2.83, 2 Au 2.78, 5 Li 2.81-2.82